! InSnMo2 PBE optimized geometry; values from VASP
! N(E_F) = 3.88 states/eV/cell
! E above lowest polymorph = 0 meV per atom
! total magnetic moment = 0.00 μB/f.u.
! E_form = 0.49 eV per atom
! VASP energy = -6.611 eV/atom
&SYSTEM
  ibrav = 0, nat = 4, ntyp = 3
/
ATOMIC_SPECIES
Sn 118.71 Sn.upf
In 114.82 In.upf
Mo 95.94 Mo.upf
CELL_PARAMETERS angstrom
0.000 3.316 3.316
3.316 0.000 3.316
3.316 3.316 0.000
ATOMIC_POSITIONS angstrom
Sn 3.316 3.316 3.316
In 0.000 0.000 0.000
Mo 1.658 1.658 1.658
Mo 4.974 4.974 4.974

=====

! In3SnMo PBE optimized geometry; values from VASP
! N(E_F) = 3.61 states/eV/cell
! E above lowest polymorph = 685 meV per atom
! total magnetic moment = 4.45 μB/f.u.
! E_form = 1.28 eV per atom
! VASP energy = -3.325 eV/atom
&SYSTEM
  ibrav = 0, nat = 5, ntyp = 3
/
ATOMIC_SPECIES
Sn 118.71 Sn.upf
In 114.82 In.upf
Mo 95.94 Mo.upf
CELL_PARAMETERS angstrom
-1.547 -5.366 0.558
4.254 -0.856 3.560
-3.318 1.404 4.303
ATOMIC_POSITIONS angstrom
Sn 0.000 0.000 0.000
In 2.127 -0.428 1.780
In -0.773 -2.683 0.279
In -1.659 0.702 2.151
Mo -0.306 -2.409 4.210

=====

! In3SnMo PBE optimized geometry; values from VASP
! N(E_F) = 2.50 states/eV/cell
! E above lowest polymorph = 0 meV per atom
! total magnetic moment = 0.40 μB/f.u.
! E_form = 0.60 eV per atom
! VASP energy = -4.011 eV/atom
&SYSTEM
  ibrav = 0, nat = 5, ntyp = 3
/
ATOMIC_SPECIES
In 114.82 In.upf
Mo 95.94 Mo.upf
Sn 118.71 Sn.upf
CELL_PARAMETERS angstrom
-1.338 4.320 2.747
-2.943 -2.973 3.241
4.189 -0.708 3.154
ATOMIC_POSITIONS angstrom
In -0.669 2.160 1.374
In 2.095 -0.354 1.577
In -1.471 -1.486 1.621
Mo 0.000 0.000 0.000
Sn -0.046 0.320 4.571

=====

! InSnMo2 PBE optimized geometry; values from VASP
! N(E_F) = 10.07 states/eV/cell
! E above lowest polymorph = 422 meV per atom
! total magnetic moment = 2.12 μB/f.u.
! E_form = 0.91 eV per atom
! VASP energy = -6.189 eV/atom
&SYSTEM
  ibrav = 0, nat = 8, ntyp = 3
/
ATOMIC_SPECIES
Mo 95.94 Mo.upf
Sn 118.71 Sn.upf
In 114.82 In.upf
CELL_PARAMETERS angstrom
-2.562 4.398 5.611
3.112 -4.675 5.085
2.698 1.382 5.263
ATOMIC_POSITIONS angstrom
Mo -0.556 2.541 5.498
Mo 2.207 0.966 7.923
Mo 2.317 -2.058 5.156
Mo 2.526 0.761 13.343
Sn 0.000 0.000 0.000
Sn 0.205 2.821 8.112
In 0.275 -0.138 5.348
In 3.042 -1.716 7.849

=====

! InSn2Mo PBE optimized geometry; values from VASP
! N(E_F) = 7.82 states/eV/cell
! total magnetic moment = 0.00 μB/f.u.
! E_form = 0.56 eV per atom
! VASP energy = -4.831 eV/atom
&SYSTEM
  ibrav = 0, nat = 8, ntyp = 3
/
ATOMIC_SPECIES
In 114.82 In.upf
Sn 118.71 Sn.upf
Mo 95.94 Mo.upf
CELL_PARAMETERS angstrom
-3.567 -2.193 0.089
1.315 -2.000 3.437
-5.533 5.314 7.761
ATOMIC_POSITIONS angstrom
In -5.113 0.512 4.806
In 0.000 0.000 0.000
Sn -3.423 -0.277 2.425
Sn -4.985 2.399 7.167
Sn -1.033 -0.211 4.100
Sn -6.130 0.331 8.881
Mo -2.672 0.609 6.480
Mo -1.126 -2.097 1.763

=====

! TlInSn2Mo PBE optimized geometry; values from VASP
! N(E_F) = 1.33 states/eV/cell
! total magnetic moment = 0.00 μB/f.u.
! E_form = 0.24 eV per atom
! VASP energy = -4.553 eV/atom
&SYSTEM
  ibrav = 0, nat = 5, ntyp = 4
/
ATOMIC_SPECIES
Mo 95.94 Mo.upf
Tl 204.38 Tl.upf
Sn 118.71 Sn.upf
In 114.82 In.upf
CELL_PARAMETERS angstrom
-4.298 1.939 -2.376
-2.965 -3.941 2.147
-0.967 3.026 4.218
ATOMIC_POSITIONS angstrom
Mo 0.000 0.000 0.000
Tl -4.115 0.512 1.994
Sn -0.484 1.513 2.109
Sn -2.149 0.970 -1.188
In -1.483 -1.970 1.074

=====

! SrIn2Mo PBE optimized geometry; values from VASP
! N(E_F) = 4.16 states/eV/cell
! E above lowest polymorph = 268 meV per atom
! total magnetic moment = 0.53 μB/f.u.
! E_form = 0.46 eV per atom
! VASP energy = -4.042 eV/atom
&SYSTEM
  ibrav = 0, nat = 4, ntyp = 3
/
ATOMIC_SPECIES
In 114.82 In.upf
Sr 87.62 Sr.upf
Mo 95.94 Mo.upf
CELL_PARAMETERS angstrom
-5.577 -0.168 1.009
2.267 -5.192 0.207
0.536 0.351 3.044
ATOMIC_POSITIONS angstrom
In -1.655 -2.680 0.608
In 0.000 0.000 0.000
Sr 1.402 -2.421 1.626
Mo -2.520 0.092 2.026

=====

! SrIn2Mo PBE optimized geometry; values from VASP
! N(E_F) = 3.00 states/eV/cell
! E above lowest polymorph = 302 meV per atom
! total magnetic moment = 0.00 μB/f.u.
! E_form = 0.49 eV per atom
! VASP energy = -4.008 eV/atom
&SYSTEM
  ibrav = 0, nat = 4, ntyp = 3
/
ATOMIC_SPECIES
In 114.82 In.upf
Mo 95.94 Mo.upf
Sr 87.62 Sr.upf
CELL_PARAMETERS angstrom
-2.597 -0.368 1.802
-1.179 -1.173 -2.713
3.016 -8.891 2.532
ATOMIC_POSITIONS angstrom
In 0.070 -0.206 0.059
In -1.069 -3.182 0.231
Mo 1.430 -4.215 1.200
Sr 0.319 -7.274 1.397

=====

! SrIn2Mo PBE optimized geometry; values from VASP
! N(E_F) = 5.49 states/eV/cell
! E above lowest polymorph = 437 meV per atom
! total magnetic moment = 2.30 μB/f.u.
! E_form = 0.62 eV per atom
! VASP energy = -3.873 eV/atom
&SYSTEM
  ibrav = 0, nat = 8, ntyp = 3
/
ATOMIC_SPECIES
In 114.82 In.upf
Mo 95.94 Mo.upf
Sr 87.62 Sr.upf
CELL_PARAMETERS angstrom
-4.048 1.650 -2.834
0.406 -4.215 -3.035
-7.847 -6.058 2.893
ATOMIC_POSITIONS angstrom
In -5.740 -2.505 -3.996
In -9.426 -3.117 -0.322
In -7.303 -4.962 0.360
In -4.963 -0.797 -1.793
Mo -6.858 -2.845 -1.438
Mo 0.000 0.000 0.000
Sr -4.631 -5.777 -1.538
Sr -1.821 -1.282 -2.934

=====

! SrIn2Mo PBE optimized geometry; values from VASP
! N(E_F) = 3.65 states/eV/cell
! E above lowest polymorph = 139 meV per atom
! total magnetic moment = 0.00 μB/f.u.
! E_form = 0.33 eV per atom
! VASP energy = -4.171 eV/atom
&SYSTEM
  ibrav = 0, nat = 4, ntyp = 3
/
ATOMIC_SPECIES
Sr 87.62 Sr.upf
In 114.82 In.upf
Mo 95.94 Mo.upf
CELL_PARAMETERS angstrom
5.133 0.005 -0.006
4.174 2.988 -0.006
0.808 0.260 6.505
ATOMIC_POSITIONS angstrom
Sr 2.529 0.813 1.623
In 0.878 0.282 6.149
In 4.988 1.603 3.602
Mo 7.587 2.439 4.869

=====

! SrIn2Mo PBE optimized geometry; values from VASP
! N(E_F) = 2.48 states/eV/cell
! E above lowest polymorph = 163 meV per atom
! total magnetic moment = 2.55 μB/f.u.
! E_form = 0.35 eV per atom
! VASP energy = -4.147 eV/atom
&SYSTEM
  ibrav = 0, nat = 4, ntyp = 3
/
ATOMIC_SPECIES
Mo 95.94 Mo.upf
In 114.82 In.upf
Sr 87.62 Sr.upf
CELL_PARAMETERS angstrom
5.438 -0.166 0.000
1.322 5.277 0.000
-3.380 -2.556 3.412
ATOMIC_POSITIONS angstrom
Mo 0.661 2.639 1.706
In 0.000 0.000 0.000
In 3.380 2.556 0.000
Sr 2.719 -0.083 1.706

=====

! SrIn2Mo PBE optimized geometry; values from VASP
! N(E_F) = 2.75 states/eV/cell
! E above lowest polymorph = 164 meV per atom
! total magnetic moment = 3.08 μB/f.u.
! E_form = 0.35 eV per atom
! VASP energy = -4.146 eV/atom
&SYSTEM
  ibrav = 0, nat = 4, ntyp = 3
/
ATOMIC_SPECIES
Mo 95.94 Mo.upf
In 114.82 In.upf
Sr 87.62 Sr.upf
CELL_PARAMETERS angstrom
0.000 3.683 3.683
3.683 0.000 3.683
3.683 3.683 0.000
ATOMIC_POSITIONS angstrom
Mo 3.683 3.683 3.683
In 1.841 1.841 1.841
In 5.524 5.524 5.524
Sr 0.000 0.000 0.000

=====

! SrInMo PBE optimized geometry; values from VASP
! N(E_F) = 3.01 states/eV/cell
! E above lowest polymorph = 120 meV per atom
! total magnetic moment = 0.00 μB/f.u.
! E_form = 0.68 eV per atom
! VASP energy = -4.401 eV/atom
&SYSTEM
  ibrav = 0, nat = 3, ntyp = 3
/
ATOMIC_SPECIES
In 114.82 In.upf
Mo 95.94 Mo.upf
Sr 87.62 Sr.upf
CELL_PARAMETERS angstrom
5.202 0.000 0.000
-2.601 4.505 0.000
0.000 0.000 3.083
ATOMIC_POSITIONS angstrom
In 0.000 0.000 0.511
Mo 2.601 1.502 0.517
Sr 0.000 3.004 2.056

=====

! SrIn2Mo PBE optimized geometry; values from VASP
! N(E_F) = 4.63 states/eV/cell
! E above lowest polymorph = 320 meV per atom
! total magnetic moment = 0.77 μB/f.u.
! E_form = 0.51 eV per atom
! VASP energy = -3.990 eV/atom
&SYSTEM
  ibrav = 0, nat = 4, ntyp = 3
/
ATOMIC_SPECIES
In 114.82 In.upf
Sr 87.62 Sr.upf
Mo 95.94 Mo.upf
CELL_PARAMETERS angstrom
5.829 0.052 0.000
2.370 5.326 0.000
-4.100 -2.689 3.153
ATOMIC_POSITIONS angstrom
In 0.000 0.000 0.000
In 1.185 2.663 1.577
Sr 2.915 0.026 1.577
Mo 4.100 2.689 0.000

=====

! SrIn2Mo PBE optimized geometry; values from VASP
! N(E_F) = 2.67 states/eV/cell
! E above lowest polymorph = 226 meV per atom
! total magnetic moment = 0.78 μB/f.u.
! E_form = 0.41 eV per atom
! VASP energy = -4.084 eV/atom
&SYSTEM
  ibrav = 0, nat = 4, ntyp = 3
/
ATOMIC_SPECIES
In 114.82 In.upf
Mo 95.94 Mo.upf
Sr 87.62 Sr.upf
CELL_PARAMETERS angstrom
10.203 0.011 0.007
9.636 3.353 0.007
9.636 1.634 2.928
ATOMIC_POSITIONS angstrom
In 29.131 4.939 2.906
In 15.083 2.557 1.505
Mo 7.369 1.249 0.735
Sr 22.107 3.748 2.206

=====

! Sr3InMo PBE optimized geometry; values from VASP
! N(E_F) = 4.87 states/eV/cell
! E above lowest polymorph = 0 meV per atom
! total magnetic moment = 0.00 μB/f.u.
! E_form = 0.74 eV per atom
! VASP energy = -2.987 eV/atom
&SYSTEM
  ibrav = 0, nat = 5, ntyp = 3
/
ATOMIC_SPECIES
Mo 95.94 Mo.upf
Sr 87.62 Sr.upf
In 114.82 In.upf
CELL_PARAMETERS angstrom
5.755 0.000 0.000
0.000 5.755 0.000
0.000 0.000 5.755
ATOMIC_POSITIONS angstrom
Mo 0.000 0.000 0.000
Sr 0.000 2.878 0.000
Sr 0.000 0.000 2.878
Sr 2.878 0.000 0.000
In 2.878 2.878 2.878

=====

! SrIn2Mo PBE optimized geometry; values from VASP
! N(E_F) = 1.76 states/eV/cell
! E above lowest polymorph = 103 meV per atom
! total magnetic moment = 0.00 μB/f.u.
! E_form = 0.29 eV per atom
! VASP energy = -4.207 eV/atom
&SYSTEM
  ibrav = 0, nat = 4, ntyp = 3
/
ATOMIC_SPECIES
Mo 95.94 Mo.upf
Sr 87.62 Sr.upf
In 114.82 In.upf
CELL_PARAMETERS angstrom
7.891 0.001 0.025
7.257 3.098 0.025
1.404 0.287 4.508
ATOMIC_POSITIONS angstrom
Mo 8.111 1.660 2.335
Sr 3.234 0.662 1.430
In 15.133 3.096 0.058
In 13.496 2.761 3.065

=====

! Sr4InMo PBE optimized geometry; values from VASP
! N(E_F) = 6.59 states/eV/cell
! total magnetic moment = 3.63 μB/f.u.
! E_form = 0.96 eV per atom
! VASP energy = -2.424 eV/atom
&SYSTEM
  ibrav = 0, nat = 6, ntyp = 3
/
ATOMIC_SPECIES
Sr 87.62 Sr.upf
In 114.82 In.upf
Mo 95.94 Mo.upf
CELL_PARAMETERS angstrom
1.499 -6.397 2.256
-5.011 -4.007 2.665
-2.257 -5.544 -3.525
ATOMIC_POSITIONS angstrom
Sr -2.163 -5.979 0.523
Sr -3.292 -8.753 -1.241
Sr -4.670 -7.984 1.857
Sr -1.412 -9.180 1.652
In -4.326 -11.961 1.047
Mo 0.000 0.000 0.000

=====

! SrInMo PBE optimized geometry; values from VASP
! N(E_F) = 1.27 states/eV/cell
! E above lowest polymorph = 806 meV per atom
! total magnetic moment = 3.42 μB/f.u.
! E_form = 1.37 eV per atom
! VASP energy = -3.715 eV/atom
&SYSTEM
  ibrav = 0, nat = 3, ntyp = 3
/
ATOMIC_SPECIES
Sr 87.62 Sr.upf
In 114.82 In.upf
Mo 95.94 Mo.upf
CELL_PARAMETERS angstrom
5.216 0.000 0.000
2.608 4.517 0.000
2.608 1.506 4.259
ATOMIC_POSITIONS angstrom
Sr 7.823 4.517 3.194
In 0.000 0.000 0.000
Mo 5.216 3.011 2.129

=====

! SrIn2Mo PBE optimized geometry; values from VASP
! N(E_F) = 4.90 states/eV/cell
! E above lowest polymorph = 213 meV per atom
! total magnetic moment = 0.36 μB/f.u.
! E_form = 0.40 eV per atom
! VASP energy = -4.097 eV/atom
&SYSTEM
  ibrav = 0, nat = 4, ntyp = 3
/
ATOMIC_SPECIES
Sr 87.62 Sr.upf
In 114.82 In.upf
Mo 95.94 Mo.upf
CELL_PARAMETERS angstrom
3.748 0.000 0.000
0.000 3.748 0.000
0.000 0.000 7.767
ATOMIC_POSITIONS angstrom
Sr 1.874 1.874 5.623
In 1.874 1.874 2.392
In 0.000 0.000 0.412
Mo 0.000 0.000 3.223